No. 1
# PmDy2Ho, optimized geometry, DFT GGA-PBE
# * formation energy: 0.02 eV per atom
# * final energy: -55.4 eV for the cell shown
# * DOS at the Fermi energy: 16.2 states/eV/cell
data_PmDy2Ho
_symmetry_space_group_name_H-M 'R -3 m'
_symmetry_Int_Tables_number 166
_symmetry_space_group_name_Hall '-R 3 2"'
_cell_length_a 3.5640
_cell_length_b 3.5640
_cell_length_c 34.8533
_cell_angle_alpha 90.00
_cell_angle_beta 90.00
_cell_angle_gamma 120.00
loop_
_atom_site_label
_atom_site_type_symbol
_atom_site_fract_x
_atom_site_fract_y
_atom_site_fract_z
Pm1 Pm 0.0000 0.0000 0.0000
Dy1 Dy 0.0000 0.0000 0.2488
Ho1 Ho 0.0000 0.0000 0.5000

***

No. 2
# Na3NpSc3S8, optimized geometry, DFT GGA-PBE
# * final energy: -280.0 eV for the cell shown
# * DOS at the Fermi energy: 37.3 states/eV/cell
data_Na3NpSc3S8
_symmetry_space_group_name_H-M 'R -3 m'
_symmetry_Int_Tables_number 166
_symmetry_space_group_name_Hall '-R 3 2"'
_cell_length_a 7.5999
_cell_length_b 7.5999
_cell_length_c 20.0850
_cell_angle_alpha 90.00
_cell_angle_beta 90.00
_cell_angle_gamma 120.00
loop_
_atom_site_label
_atom_site_type_symbol
_atom_site_fract_x
_atom_site_fract_y
_atom_site_fract_z
Na1 Na 0.0000 0.5000 0.0000
Np1 Np 0.0000 0.0000 0.5000
Sc1 Sc 0.0000 0.5000 0.5000
S1 S 0.0000 0.0000 0.2385
S2 S 0.0086 0.5043 0.7615

***

No. 3
# Tb2Sm2HoMg2, optimized geometry, DFT GGA-PBE
# * formation energy: -0.01 eV per atom
# * final energy: -79.7 eV for the cell shown
# * DOS at the Fermi energy: 22.3 states/eV/cell
data_Tb2Sm2HoMg2
_symmetry_space_group_name_H-M 'R -3 m'
_symmetry_Int_Tables_number 166
_symmetry_space_group_name_Hall '-R 3 2"'
_cell_length_a 5.4755
_cell_length_b 5.4755
_cell_length_c 24.1875
_cell_angle_alpha 90.00
_cell_angle_beta 90.00
_cell_angle_gamma 120.00
loop_
_atom_site_label
_atom_site_type_symbol
_atom_site_fract_x
_atom_site_fract_y
_atom_site_fract_z
Tb1 Tb 0.0000 0.0000 0.0739
Sm1 Sm 0.0000 0.0000 0.3446
Ho1 Ho 0.0000 0.0000 0.5000
Mg1 Mg 0.0000 0.0000 0.2098

***

No. 4
# NaGa4Pd, optimized geometry, DFT GGA-PBE
# * formation energy: -0.18 eV per atom
# * final energy: -157.8 eV for the cell shown
# * DOS at the Fermi energy: 19.5 states/eV/cell
data_NaGa4Pd
_symmetry_space_group_name_H-M 'F m m m'
_symmetry_Int_Tables_number 69
_symmetry_space_group_name_Hall '-F 2 2'
_cell_length_a 8.7531
_cell_length_b 9.3914
_cell_length_c 11.6786
_cell_angle_alpha 90.00
_cell_angle_beta 90.00
_cell_angle_gamma 90.00
loop_
_atom_site_label
_atom_site_type_symbol
_atom_site_fract_x
_atom_site_fract_y
_atom_site_fract_z
Na1 Na 0.2500 0.2500 0.0000
Ga1 Ga 0.0000 0.1379 0.1678
Ga2 Ga 0.1640 0.0000 0.3581
Pd1 Pd 0.2500 0.2500 0.2500

***

No. 5
# GaP2RuF, optimized geometry, DFT GGA-PBE
# * final energy: -25.5 eV for the cell shown
# * DOS at the Fermi energy: 3.0 states/eV/cell
data_GaP2RuF
_symmetry_space_group_name_H-M 'P 4/m m m'
_symmetry_Int_Tables_number 123
_symmetry_space_group_name_Hall '-P 4 2'
_cell_length_a 4.6047
_cell_length_b 4.6047
_cell_length_c 4.2481
_cell_angle_alpha 90.00
_cell_angle_beta 90.00
_cell_angle_gamma 90.00
loop_
_atom_site_label
_atom_site_type_symbol
_atom_site_fract_x
_atom_site_fract_y
_atom_site_fract_z
Ga1 Ga 0.0000 0.0000 0.0000
P1 P 0.0000 0.5000 0.5000
Ru1 Ru 0.5000 0.5000 0.5000
F1 F 0.5000 0.5000 0.0000

***

No. 6
# Na2InHgAs, optimized geometry, DFT GGA-PBE
# * formation energy: -0.14 eV per atom
# * final energy: -11.0 eV for the cell shown
# * DOS at the Fermi energy: 2.2 states/eV/cell
data_Na2InHgAs
_symmetry_space_group_name_H-M 'P 4/m m m'
_symmetry_Int_Tables_number 123
_symmetry_space_group_name_Hall '-P 4 2'
_cell_length_a 5.5641
_cell_length_b 5.5641
_cell_length_c 5.3921
_cell_angle_alpha 90.00
_cell_angle_beta 90.00
_cell_angle_gamma 90.00
loop_
_atom_site_label
_atom_site_type_symbol
_atom_site_fract_x
_atom_site_fract_y
_atom_site_fract_z
Na1 Na 0.0000 0.5000 0.0000
In1 In 0.0000 0.0000 0.5000
Hg1 Hg 0.5000 0.5000 0.5000
As1 As 0.0000 0.0000 0.0000

***

no.,magnetization (μB/atom)
1,0.000
2,0.200
3,0.000
4,0.000
5,0.000
6,0.000